Sm6Sb2Te3Se PBE-GGA relaxed; space group = No. 12; calculated total energy = -5.5385 eV/atom; N(E_F) = 4.39 states/eV per cell; uncorrected formation energy = -1416 meV per atom
1.0
4.3996 0.0000 0.0000
0.0000 8.8512 0.2570
-2.1998 -2.6111 9.3102
Te Sm Se Sb
3 6 1 2
direct
0.5000 0.5000 0.0000
0.1699 0.8351 0.3398
0.8301 0.1649 0.6602
0.6558 0.0826 0.3117
0.0005 0.2266 0.0010
0.6681 0.5772 0.3361
0.3442 0.9174 0.6883
0.9995 0.7734 0.9990
0.3319 0.4228 0.6639
0.5000 0.0000 0.0000
0.1659 0.3319 0.3317
0.8341 0.6681 0.6683



Sm6Sb2TeSe3 PBE-GGA relaxed; space group = No. 12; calculated total energy = -5.7230 eV/atom; N(E_F) = 4.84 states/eV per cell; uncorrected formation energy = -1543 meV per atom
1.0
-0.0328 -3.6163 -2.3503
7.6147 2.1952 -3.4839
2.4503 -3.1721 8.8038
Sb Te Sm Se
2 1 6 3
direct
0.1659 0.3317 0.3318
0.8341 0.6683 0.6682
0.5000 0.0000 0.0000
0.6736 0.0784 0.3472
0.0030 0.7317 0.0060
0.3360 0.4098 0.6719
0.6640 0.5903 0.3281
0.9970 0.2683 0.9940
0.3264 0.9216 0.6528
0.5000 0.5000 0.0000
0.1651 0.8336 0.3303
0.8349 0.1664 0.6697



SmThSbSe2 PBE-GGA relaxed; space group = No. 107; calculated total energy = -5.8009 eV/atom; N(E_F) = 0.20 states/eV per cell; uncorrected formation energy = -1155 meV per atom
1.0
-0.4071 -0.0149 4.5474
-4.0385 -2.0975 -0.3684
5.5219 -5.3440 -1.8151
Sb Sm Se Th
1 1 2 1
direct
0.5089 0.5089 0.0177
0.8672 0.8672 0.7343
0.2492 0.7492 0.4984
0.7492 0.2492 0.4984
0.1255 0.1255 0.2511



Sm3Tl4SbSe8 PBE-GGA relaxed; space group = No. 166; calculated total energy = -4.6003 eV/atom; uncorrected formation energy = -1124 meV per atom
1.0
-5.4652 -1.7863 6.3059
6.3233 -5.3111 3.9758
2.0917 8.1034 -1.6659
Tl Sm Se Sb
4 3 8 1
direct
0.0000 0.0000 0.5000
0.5000 0.0000 0.5000
0.0000 0.0000 0.0000
0.5000 0.0000 0.0000
0.5000 0.5000 0.5000
0.5000 0.5000 0.0000
0.0000 0.5000 0.5000
0.2610 0.2924 0.0266
0.7656 0.2924 0.5311
0.2636 0.2910 0.5272
0.7390 0.7076 0.9734
0.2344 0.7076 0.4689
0.2344 0.7076 0.9734
0.7364 0.7090 0.4728
0.7656 0.2924 0.0266
0.0000 0.5000 0.0000